No. 1
DFT (PBE-GGA) results for a relaxed CrReOs2 crystal.

Lattice parameters (Å, degrees): 2.717 2.717 7.568 90.00 90.00 90.00
Element x y z (fractional)
Cr: 0.500 0.500 0.756
Os: 0.000 0.000 0.987
Os: 0.500 0.500 0.250
Re: 0.000 0.000 0.506

Summary:
For the total energy, the calculation gives -11.0027 eV per atom. As for the space group: P4mm (99). The relative energy among the computed polymorphs comes out at 0.0554 eV/atom. As for the volume: 56 Å³ per cell. The energy of formation from the pure elements comes out at 0.130 eV/atom.

---

No. 2
DFT (PBE-GGA) results for a relaxed Ac2GaAg crystal.

Lattice parameters (Å, degrees): 3.926 3.926 7.928 90.00 90.00 90.00
Element x y z (fractional)
Ac: 0.000 0.000 0.757
Ac: 0.000 0.000 0.243
Ga: 0.500 0.500 0.000
Ag: 0.500 0.500 0.500

Summary:
For the total energy, the calculation gives -3.8866 eV per atom. As for the space group: P4/mmm (123). As for the volume: 122 Å³ per cell. The energy of formation from the pure elements comes out at -0.363 eV/atom.